Entry 1:
{"formula": "ScTa2Ni", "functional": "PBE", "state": "optimized geometry", "lattice": [[3.917, 0.000, 0.000], [0.000, 3.917, 0.000], [0.000, 0.000, 4.517]], "species": ["Sc", "Ta", "Ta", "Ni"], "fractional_positions": [[0.000, 0.000, 0.000], [0.000, 0.500, 0.500], [0.500, 0.000, 0.500], [0.500, 0.500, 0.000]], "e_form_kj_per_mol_atoms": 11.8, "sg": "P4/mmm", "de_polymorph_mev_per_atom": 186, "total_energy_ev_per_cell": -35.3}


Entry 2:
{"formula": "Sc2TaNi", "functional": "PBE", "state": "optimized geometry", "lattice": [[-3.693, 3.693, 2.785], [3.693, -3.693, 2.785], [3.693, 3.693, -2.785]], "species": ["Sc", "Sc", "Sc", "Sc", "Ta", "Ta", "Ni", "Ni"], "fractional_positions": [[0.075, 0.625, 0.950], [0.375, 0.325, 0.450], [0.675, 0.125, 0.050], [0.875, 0.925, 0.550], [0.250, 0.750, 0.500], [0.500, 0.500, 0.000], [0.000, 0.000, 0.000], [0.750, 0.250, 0.500]], "e_form_kj_per_mol_atoms": 25.1, "sg": "I-42d", "de_polymorph_mev_per_atom": 385, "total_energy_ev_per_cell": -58.5}


Entry 3:
{"formula": "ScTaNi2", "functional": "PBE", "state": "optimized geometry", "lattice": [[-1.859, 1.859, 4.355], [1.859, -1.859, 4.355], [1.859, 1.859, -4.355]], "species": ["Sc", "Ta", "Ni", "Ni"], "fractional_positions": [[0.000, 0.000, 0.000], [0.250, 0.750, 0.500], [0.500, 0.500, 0.000], [0.750, 0.250, 0.500]], "e_form_kj_per_mol_atoms": -8.6, "sg": "I-4m2", "total_energy_ev_per_cell": -30.1}


Entry 4:
{"formula": "Sc2TaNi8", "functional": "PBE", "state": "optimized geometry", "lattice": [[6.553, -2.406, 0.000], [6.553, 2.406, 0.000], [-0.571, 0.000, 4.663]], "species": ["Sc", "Sc", "Ta", "Ni", "Ni", "Ni", "Ni", "Ni", "Ni", "Ni", "Ni"], "fractional_positions": [[0.186, 0.186, 0.083], [0.814, 0.814, 0.917], [0.500, 0.500, 0.500], [0.005, 0.005, 0.753], [0.081, 0.591, 0.425], [0.404, 0.404, 0.965], [0.409, 0.919, 0.575], [0.591, 0.081, 0.425], [0.596, 0.596, 0.035], [0.919, 0.409, 0.575], [0.995, 0.995, 0.247]], "e_form_kj_per_mol_atoms": -26.7, "sg": "C2/m", "total_energy_ev_per_cell": -73.8}


Entry 5:
{"formula": "ScTaNi2", "functional": "PBE", "state": "optimized geometry", "lattice": [[3.076, 0.000, 0.000], [0.000, 4.117, 0.000], [-1.428, 0.000, 4.850]], "species": ["Sc", "Ta", "Ni", "Ni"], "fractional_positions": [[0.000, 0.000, 0.000], [0.729, 0.500, 0.434], [0.280, 0.000, 0.536], [0.440, 0.500, 0.873]], "e_form_kj_per_mol_atoms": -30.9, "sg": "Pm", "total_energy_ev_per_cell": -31.0}


Entry 6:
{"formula": "ScTa2Ni", "functional": "PBE", "state": "optimized geometry", "lattice": [[4.725, 0.000, 0.000], [0.000, 4.725, 0.000], [0.000, 0.000, 3.027]], "species": ["Sc", "Ta", "Ta", "Ni"], "fractional_positions": [[0.000, 0.000, 0.000], [0.000, 0.500, 0.500], [0.500, 0.000, 0.500], [0.500, 0.500, 0.000]], "e_form_kj_per_mol_atoms": 28.8, "sg": "P4/mmm", "de_polymorph_mev_per_atom": 362, "total_energy_ev_per_cell": -34.6}


What did the sixth record say?
{"formula": "ScTa2Ni", "functional": "PBE", "state": "optimized geometry", "lattice": [[4.725, 0.000, 0.000], [0.000, 4.725, 0.000], [0.000, 0.000, 3.027]], "species": ["Sc", "Ta", "Ta", "Ni"], "fractional_positions": [[0.000, 0.000, 0.000], [0.000, 0.500, 0.500], [0.500, 0.000, 0.500], [0.500, 0.500, 0.000]], "e_form_kj_per_mol_atoms": 28.8, "sg": "P4/mmm", "de_polymorph_mev_per_atom": 362, "total_energy_ev_per_cell": -34.6}